{"formula": "PmNpNiO6", "functional": "PBE with a Hubbard U", "state": "optimized geometry", "total_energy_ha_per_atom": -0.28848, "mass_density_g_cm3": 7.22, "m_tot_mub_per_fu": 1.95, "lattice_angstrom": [[5.759, 0.000, 0.000], [-2.879, 4.987, 0.000], [0.000, 0.000, 8.596]], "species": ["Ni", "Ni", "O", "O", "O", "O", "O", "O", "O", "O", "O", "O", "O", "O", "Pm", "Pm", "Np", "Np"], "frac_coords": [[0.000, 0.000, 0.500], [0.000, 0.000, 0.000], [0.643, 0.686, 0.626], [0.643, 0.957, 0.874], [0.686, 0.643, 0.126], [0.314, 0.357, 0.874], [0.314, 0.957, 0.626], [0.957, 0.643, 0.374], [0.043, 0.357, 0.626], [0.043, 0.686, 0.874], [0.357, 0.043, 0.126], [0.357, 0.314, 0.374], [0.957, 0.314, 0.126], [0.686, 0.043, 0.374], [0.333, 0.667, 0.250], [0.667, 0.333, 0.750], [0.333, 0.667, 0.750], [0.667, 0.333, 0.250]]}